(1)
# SCAN BPdCl2, PBEsol geometry
# * E above lowest polymorph: 200 meV per atom
# * uncorrected formation energy: 0.7354 eV/atom
data_BPdCl2
_chemical_formula_sum 'B3 Pd3 Cl6'
_space_group_name_H-M_alt 'R -3 m'
_space_group_IT_number 166
_space_group_name_Hall '-R 3 2"'
_cell_length_a 3.1029
_cell_length_b 3.1029
_cell_length_c 22.0482
_cell_angle_alpha 90.00
_cell_angle_beta 90.00
_cell_angle_gamma 120.00
loop_
_atom_site_label
_atom_site_type_symbol
_atom_site_fract_x
_atom_site_fract_y
_atom_site_fract_z
_atom_site_occupancy
B1 B 0.0000 0.0000 0.0000 1
Pd1 Pd 0.0000 0.0000 0.5000 1
Cl1 Cl 0.0000 0.0000 0.3949 1

(2)
# SCAN YAs2Pb, PBEsol geometry
# * formation energy: -0.456 eV/atom
data_YAs2Pb
_chemical_formula_sum 'Y2 As4 Pb2'
_space_group_name_H-M_alt 'C 1 2/m 1'
_space_group_IT_number 12
_space_group_name_Hall '-C 2y'
_cell_length_a 9.938
_cell_length_b 3.648
_cell_length_c 5.853
_cell_angle_alpha 90.00
_cell_angle_beta 113.61
_cell_angle_gamma 90.00
loop_
_atom_site_label
_atom_site_type_symbol
_atom_site_fract_x
_atom_site_fract_y
_atom_site_fract_z
_atom_site_occupancy
Y1 Y 0.000 0.000 0.000 1
As1 As 0.246 0.000 0.829 1
Pb1 Pb 0.000 0.500 0.500 1

(3)
# SCAN Bi2As2I, PBEsol geometry
# * E above lowest polymorph: 0 meV per atom
# * uncorrected formation energy: 0.0394 eV/atom
data_Bi2As2I
_chemical_formula_sum 'Bi4 As4 I2'
_space_group_name_H-M_alt 'I 4/m m m'
_space_group_IT_number 139
_space_group_name_Hall '-I 4 2'
_cell_length_a 4.685
_cell_length_b 4.685
_cell_length_c 13.856
_cell_angle_alpha 90.00
_cell_angle_beta 90.00
_cell_angle_gamma 90.00
loop_
_atom_site_label
_atom_site_type_symbol
_atom_site_fract_x
_atom_site_fract_y
_atom_site_fract_z
_atom_site_occupancy
Bi1 Bi 0.000 0.000 0.132 1
As1 As 0.000 0.500 0.250 1
I1 I 0.000 0.000 0.500 1

Number 3 is which compound? Bi2As2I

Please write out number 3 again, unchanged.
# SCAN Bi2As2I, PBEsol geometry
# * E above lowest polymorph: 0 meV per atom
# * uncorrected formation energy: 0.0394 eV/atom
data_Bi2As2I
_chemical_formula_sum 'Bi4 As4 I2'
_space_group_name_H-M_alt 'I 4/m m m'
_space_group_IT_number 139
_space_group_name_Hall '-I 4 2'
_cell_length_a 4.685
_cell_length_b 4.685
_cell_length_c 13.856
_cell_angle_alpha 90.00
_cell_angle_beta 90.00
_cell_angle_gamma 90.00
loop_
_atom_site_label
_atom_site_type_symbol
_atom_site_fract_x
_atom_site_fract_y
_atom_site_fract_z
_atom_site_occupancy
Bi1 Bi 0.000 0.000 0.132 1
As1 As 0.000 0.500 0.250 1
I1 I 0.000 0.000 0.500 1